1.
SrLaPu after structural relaxation. Source: the Alexandria database, functional GGA-PBE.

For the formation energy, the calculation gives 0.78 eV per formula unit. As for the magnetic moment: 13.09 μB/cell. For the density, the calculation gives 6.92 g/cm3.

It has space group I4mm (No. 107), with a = 3.6963 Å, b = 3.6963 Å, c = 16.5286 Å, α = 90.00°, β = 90.00° and γ = 90.00°. The inequivalent atoms are Sr at (0.0000, 0.0000, 0.0000), La at (0.0000, 0.0000, 0.3122) and Pu at (0.0000, 0.0000, 0.6703).


2.
CsNaIn3 after structural relaxation. Source: the Alexandria database, functional GGA-PBE.

For the formation energy, the calculation gives 1.27 eV per formula unit. As for the magnetic moment: 0.00 μB/cell. For the density, the calculation gives 4.12 g/cm3.

It has space group Pm-3m (No. 221), with a = 5.8663 Å, b = 5.8663 Å, c = 5.8663 Å, α = 90.00°, β = 90.00° and γ = 90.00°. The inequivalent atoms are Cs at (0.0000, 0.0000, 0.0000), Na at (0.5000, 0.5000, 0.5000) and In at (0.0000, 0.5000, 0.5000).


3.
AlBiC3 after structural relaxation. Source: the Alexandria database, functional GGA-PBE.

For the formation energy, the calculation gives 16.41 eV per formula unit. As for the magnetic moment: 2.07 μB/cell. For the density, the calculation gives 4.99 g/cm3.

It has space group Pm-3m (No. 221), with a = 4.4909 Å, b = 4.4909 Å, c = 4.4909 Å, α = 90.00°, β = 90.00° and γ = 90.00°. The inequivalent atoms are Al at (0.0000, 0.0000, 0.0000), Bi at (0.5000, 0.5000, 0.5000) and C at (0.0000, 0.5000, 0.5000).


4.
TlIn2HgTe4 after structural relaxation. Source: the Alexandria database, functional GGA-PBE.

The calculation puts the uncorrected formation energy at -0.13 eV/atom. As for the magnetic moment: 0.00 μB/cell. For the density, the calculation gives 7.08 g/cm3.

It has space group I222 (No. 23), with a = 7.6976 Å, b = 8.1837 Å, c = 8.5296 Å, α = 90.00°, β = 90.00° and γ = 90.00°. The inequivalent atoms are Tl at (0.0000, 0.0000, 0.0000), In at (0.0000, 0.5000, 0.3168), Hg at (0.0000, 0.0000, 0.5000) and Te at (0.2448, 0.2041, 0.6529).


5.
Si2SbRh after structural relaxation. Source: the Alexandria database, functional GGA-PBE.

The calculation puts the uncorrected formation energy at -0.04 eV/atom. As for the magnetic moment: 0.00 μB/cell. For the density, the calculation gives 6.36 g/cm3.

It has space group Pm (No. 6), with a = 3.5108 Å, b = 3.6258 Å, c = 6.0143 Å, α = 90.00°, β = 106.64° and γ = 90.00°. The inequivalent atoms are Si at (0.0000, 0.0000, 0.0000), Si at (0.4896, 0.5000, 0.9872), Sb at (0.7507, 0.0000, 0.5239) and Rh at (0.1393, 0.5000, 0.2954).


6.
Pr3CdRh3 after structural relaxation. Source: the Alexandria database, functional GGA-PBE.

For the formation energy, the calculation gives -2.28 eV per formula unit. As for the magnetic moment: 0.00 μB/cell. For the density, the calculation gives 7.36 g/cm3.

It has space group P6_3/m (No. 176), with a = 8.7763 Å, b = 8.7763 Å, c = 5.7074 Å, α = 90.00°, β = 90.00° and γ = 120.00°. The inequivalent atoms are Pr at (0.0516, 0.6906, 0.2500), Cd at (0.3333, 0.6667, 0.7500) and Rh at (0.0363, 0.6860, 0.7500).


7.
HoTm5Tl2Pb after structural relaxation. Source: the Alexandria database, functional GGA-PBE.

For the formation energy, the calculation gives -0.84 eV per formula unit. As for the magnetic moment: 3.62 μB/cell. For the density, the calculation gives 9.92 g/cm3.

It has space group I4/mcm (No. 140), with a = 7.6947 Å, b = 7.6947 Å, c = 18.3913 Å, α = 90.00°, β = 90.00° and γ = 90.00°. The inequivalent atoms are Ho at (0.0000, 0.0000, 0.2500), Tm at (0.0000, 0.0000, 0.0000), Tm at (0.1845, 0.3155, 0.1211), Tl at (0.1294, 0.3706, 0.5000) and Pb at (0.0000, 0.5000, 0.2500).


8.
Mg2Ga2GeIr5 after structural relaxation. Source: the Alexandria database, functional GGA-PBE.

For the formation energy, the calculation gives -2.62 eV per formula unit. As for the magnetic moment: 0.26 μB/cell. For the density, the calculation gives 12.83 g/cm3.

It has space group P4/mbm (No. 127), with a = 9.3764 Å, b = 9.3764 Å, c = 3.5963 Å, α = 90.00°, β = 90.00° and γ = 90.00°. The inequivalent atoms are Mg at (0.1701, 0.3299, 0.0000), Ga at (0.1301, 0.6301, 0.0000), Ge at (0.0000, 0.0000, 0.0000), Ir at (0.0000, 0.5000, 0.5000) and Ir at (0.0634, 0.8028, 0.5000).


9.
KHg7 after structural relaxation. Source: the Alexandria database, functional GGA-PBE.

For the formation energy, the calculation gives -0.89 eV per formula unit. As for the magnetic moment: 0.00 μB/cell. For the density, the calculation gives 10.07 g/cm3.

It has space group Fm-3m (No. 225), with a = 9.8370 Å, b = 9.8370 Å, c = 9.8370 Å, α = 90.00°, β = 90.00° and γ = 90.00°. The inequivalent atoms are K at (0.0000, 0.0000, 0.0000), Hg at (0.0000, 0.0000, 0.5000) and Hg at (0.0000, 0.2500, 0.2500).


10.
CaScTe2Au after structural relaxation. Source: the Alexandria database, functional GGA-PBE.

The calculation puts the uncorrected formation energy at -0.01 eV/atom. As for the magnetic moment: 0.00 μB/cell. For the density, the calculation gives 5.26 g/cm3.

It has space group P4/mmm (No. 123), with a = 5.7163 Å, b = 5.7163 Å, c = 5.1948 Å, α = 90.00°, β = 90.00° and γ = 90.00°. The inequivalent atoms are Ca at (0.0000, 0.0000, 0.0000), Sc at (0.5000, 0.5000, 0.5000), Te at (0.0000, 0.5000, 0.0000) and Au at (0.0000, 0.0000, 0.5000).


11.
Rb2UCuS4 after structural relaxation. Source: the Alexandria database, functional GGA-PBE.

The calculation puts the uncorrected formation energy at -0.91 eV/atom. As for the magnetic moment: 1.99 μB/cell. For the density, the calculation gives 4.03 g/cm3.

It has space group I-4 (No. 82), with a = 7.3710 Å, b = 7.3710 Å, c = 9.1070 Å, α = 90.00°, β = 90.00° and γ = 90.00°. The inequivalent atoms are Rb at (0.0000, 0.0000, 0.0000), Rb at (0.0000, 0.5000, 0.2500), U at (0.0000, 0.0000, 0.5000), Cu at (0.0000, 0.5000, 0.7500) and S at (0.1478, 0.7413, 0.6337).


12.
BeHgOs2 after structural relaxation. Source: the Alexandria database, functional GGA-PBE.

For the formation energy, the calculation gives 3.16 eV per formula unit. As for the magnetic moment: 0.00 μB/cell. For the density, the calculation gives 16.18 g/cm3.

It has space group C2/m (No. 12), with a = 5.3719 Å, b = 9.3294 Å, c = 2.7777 Å, α = 90.00°, β = 119.55° and γ = 90.00°. The inequivalent atoms are Be at (0.0000, 0.0000, 0.0000), Hg at (0.0000, 0.5000, 0.0000) and Os at (0.2500, 0.2500, 0.5000).


13.
CaLa3Tc after structural relaxation. Source: the Alexandria database, functional GGA-PBE.

For the formation energy, the calculation gives 0.06 eV per formula unit. As for the magnetic moment: 0.00 μB/cell. For the density, the calculation gives 5.16 g/cm3.

It has space group P1 (No. 1), with a = 5.5877 Å, b = 6.8408 Å, c = 10.6407 Å, α = 88.40°, β = 74.82° and γ = 65.95°. The inequivalent atoms are Ca at (0.0000, 0.0000, 0.0000), Ca at (0.3707, 0.3810, 0.8754), La at (0.1227, 0.1286, 0.6241), La at (0.2557, 0.2440, 0.2471), La at (0.4959, 0.5130, 0.4996), La at (0.6276, 0.6146, 0.1284), La at (0.7452, 0.7582, 0.7514), La at (0.8697, 0.8789, 0.3753), Tc at (0.2582, 0.7742, 0.7137) and Tc at (0.7464, 0.2800, 0.2689).


14.
AcPm2As after structural relaxation. Source: the Alexandria database, functional GGA-PBE.

For the formation energy, the calculation gives -2.65 eV per formula unit. As for the magnetic moment: 0.00 μB/cell. For the density, the calculation gives 7.06 g/cm3.

It has space group R3m (No. 160, hexagonal axes), with a = 4.0643 Å, b = 4.0643 Å, c = 29.1980 Å, α = 90.00°, β = 90.00° and γ = 120.00°. The inequivalent atoms are Ac at (0.0000, 0.0000, 0.0000), Pm at (0.0000, 0.0000, 0.5587), Pm at (0.0000, 0.0000, 0.7740) and As at (0.0000, 0.0000, 0.1659).


15.
Dy4InPd15 after structural relaxation. Source: the Alexandria database, functional GGA-PBE.

For the formation energy, the calculation gives -15.88 eV per formula unit. As for the magnetic moment: 0.00 μB/cell. For the density, the calculation gives 11.33 g/cm3.

It has space group P4/mmm (No. 123), with a = 4.1088 Å, b = 4.1088 Å, c = 20.4974 Å, α = 90.00°, β = 90.00° and γ = 90.00°. The inequivalent atoms are Dy at (0.0000, 0.0000, 0.1010), Dy at (0.0000, 0.0000, 0.3032), In at (0.0000, 0.0000, 0.5000), Pd at (0.0000, 0.5000, 0.0000), Pd at (0.0000, 0.5000, 0.2020), Pd at (0.0000, 0.5000, 0.4039), Pd at (0.5000, 0.5000, 0.1014), Pd at (0.5000, 0.5000, 0.3028) and Pd at (0.5000, 0.5000, 0.5000).


16.
TaIF3 after structural relaxation. Source: the Alexandria database, functional GGA-PBE.

The calculation puts the uncorrected formation energy at -1.66 eV/atom. As for the magnetic moment: 1.00 μB/cell. For the density, the calculation gives 7.74 g/cm3.

It has space group Pm-3m (No. 221), with a = 4.2779 Å, b = 4.2779 Å, c = 4.2779 Å, α = 90.00°, β = 90.00° and γ = 90.00°. The inequivalent atoms are Ta at (0.0000, 0.0000, 0.0000), I at (0.5000, 0.5000, 0.5000) and F at (0.0000, 0.0000, 0.5000).


17.
MoH2Cl after structural relaxation. Source: the Alexandria database, functional GGA-PBE.

As for the magnetic moment: 0.00 μB/cell. For the density, the calculation gives 5.02 g/cm3. The value obtained for the electronic total energy is -4.5282 eV per atom.

It has space group I-42d (No. 122), with a = 6.0452 Å, b = 6.0452 Å, c = 4.8334 Å, α = 90.00°, β = 90.00° and γ = 90.00°. The inequivalent atoms are Mo at (0.0000, 0.0000, 0.0000), H at (0.1388, 0.7500, 0.1250) and Cl at (0.0000, 0.0000, 0.5000).


18.
TcNi2Rh2 after structural relaxation. Source: the Alexandria database, functional GGA-PBE.

For the formation energy, the calculation gives -0.12 eV per formula unit. As for the magnetic moment: 0.00 μB/cell. For the density, the calculation gives 10.77 g/cm3.

It has space group C2/m (No. 12), with a = 8.2761 Å, b = 3.7050 Å, c = 5.9124 Å, α = 90.00°, β = 134.24° and γ = 90.00°. The inequivalent atoms are Tc at (0.0000, 0.0000, 0.0000), Ni at (0.2044, 0.0000, 0.8124) and Rh at (0.0957, 0.5000, 0.3929).


19.
BePtIO2 after structural relaxation. Source: the Alexandria database, functional GGA-PBE.

The calculation puts the uncorrected formation energy at 0.19 eV/atom. As for the magnetic moment: 0.36 μB/cell. For the density, the calculation gives 5.26 g/cm3.

It has space group P4/mmm (No. 123), with a = 3.7798 Å, b = 3.7798 Å, c = 8.0163 Å, α = 90.00°, β = 90.00° and γ = 90.00°. The inequivalent atoms are Be at (0.0000, 0.0000, 0.0000), Pt at (0.5000, 0.5000, 0.5000), I at (0.5000, 0.5000, 0.0000) and O at (0.0000, 0.5000, 0.5000).


20.
CdHgSe2 after structural relaxation. Source: the Alexandria database, functional GGA-PBE.

The calculation puts the uncorrected formation energy at 0.17 eV/atom. As for the magnetic moment: 0.00 μB/cell. For the density, the calculation gives 8.53 g/cm3.

It has space group Fm-3m (No. 225), with a = 7.1580 Å, b = 7.1580 Å, c = 7.1580 Å, α = 90.00°, β = 90.00° and γ = 90.00°. The inequivalent atoms are Cd at (0.0000, 0.0000, 0.0000), Hg at (0.0000, 0.0000, 0.5000) and Se at (0.2500, 0.2500, 0.2500).